Density functional theory data (PBE) for AsOs2 after structural relaxation.

```
AsOs2
1.0
0.0000 5.4275 5.4275
5.4275 0.0000 5.4275
5.4275 5.4275 0.0000
As Os
2 4
Direct
0.1250 0.1250 0.1250 As
0.8750 0.8750 0.8750 As
0.0000 0.0000 0.0000 Os
0.0000 0.0000 0.5000 Os
0.0000 0.5000 0.0000 Os
0.5000 0.0000 0.0000 Os
```

Values from the calculation:
- Volume: 53.3 A^3/atom
- Crystal system: cubic
- E_tot: -5.669 eV per atom
- Spin magnetization: 5.1 μB per formula unit


Density functional theory data (PBE) for As2Os after structural relaxation.

```
As2Os
1.0
0.0000 3.7054 3.7054
3.7054 0.0000 3.7054
3.7054 3.7054 0.0000
As Os
4 2
Direct
0.0000 0.0000 0.0000 As
0.0000 0.0000 0.5000 As
0.0000 0.5000 0.0000 As
0.5000 0.0000 0.0000 As
0.3750 0.3750 0.3750 Os
0.6250 0.6250 0.6250 Os
```

Values from the calculation:
- Volume: 17.0 A^3/atom
- Crystal system: cubic
- E_tot: -5.470 eV per atom
- Spin magnetization: 0.0 μB per formula unit